[1]
The following is a GGA-PBE calculation of crystalline MgTcNiGe at its relaxed geometry, from OQMD via LeMat-Bulk.

Calculated values
**Polymorph energy (0 for the lowest one)**: 0.0 meV/atom

Lattice parameters (Å, degrees): 6.040 6.040 6.040 90.00 90.00 90.00
Space group F-43m (No. 216)
Inequivalent atoms, fractional coordinates:
Mg (0.000, 0.000, 0.000)
Tc (0.250, 0.250, 0.250)
Ni (0.250, 0.250, 0.750)
Ge (0.000, 0.000, 0.500)


[2]
The following is a GGA-PBE calculation of crystalline Be2CoPd at its relaxed geometry, from OQMD via LeMat-Bulk.

Lattice parameters (Å, degrees): 5.583 5.583 5.583 90.00 90.00 90.00
Space group F-43m (No. 216)
Inequivalent atoms, fractional coordinates:
Be (0.000, 0.000, 0.000)
Be (0.250, 0.250, 0.250)
Co (0.250, 0.250, 0.750)
Pd (0.000, 0.000, 0.500)


[3]
The following is a GGA-PBE calculation of crystalline BeZnFe at its relaxed geometry, from OQMD via LeMat-Bulk.

Calculated values
**Polymorph energy (0 for the lowest one)**: 0.0 meV/atom

Lattice parameters (Å, degrees): 5.249 5.249 5.249 90.00 90.00 90.00
Space group F-43m (No. 216)
Inequivalent atoms, fractional coordinates:
Be (0.000, 0.000, 0.000)
Zn (0.250, 0.250, 0.250)
Fe (0.250, 0.250, 0.750)


[4]
The following is a GGA-PBE calculation of crystalline YMgAg at its relaxed geometry, from OQMD via LeMat-Bulk.

Lattice parameters (Å, degrees): 8.0290 8.0290 3.9431 90.00 90.00 120.00
Space group P-62m (No. 189)
Inequivalent atoms, fractional coordinates:
Y (0.0000, 0.2703, 0.0000)
Mg (0.0000, 0.6083, 0.5000)
Ag (0.0000, 0.0000, 0.5000)
Ag (0.3333, 0.6667, 0.0000)


[5]
The following is a GGA-PBE calculation of crystalline TmBe14 at its relaxed geometry, from OQMD via LeMat-Bulk.

Lattice parameters (Å, degrees): 6.7284 6.7284 11.7125 90.00 90.00 120.00
Space group R-3m (No. 166, hexagonal axes)
Inequivalent atoms, fractional coordinates:
Tm (0.0000, 0.0000, 0.0000)
Be (0.0000, 0.0000, 0.2128)
Be (0.0000, 0.3415, 0.5000)
Be (0.1091, 0.2182, 0.6537)


[6]
The following is a GGA-PBE calculation of crystalline Sr2ScNbO6 at its relaxed geometry, from OQMD via LeMat-Bulk.

Lattice parameters (Å, degrees): 8.113 8.113 8.113 90.00 90.00 90.00
Space group Fm-3m (No. 225)
Inequivalent atoms, fractional coordinates:
Sr (0.250, 0.250, 0.250)
Sc (0.000, 0.000, 0.000)
Nb (0.000, 0.000, 0.500)
O (0.000, 0.000, 0.254)


[7]
The following is a GGA-PBE calculation of crystalline NdTlGaTe3 at its relaxed geometry, from OQMD via LeMat-Bulk.

Lattice parameters (Å, degrees): 4.840 14.677 11.915 90.00 90.00 90.00
Space group Cmcm (No. 63)
Inequivalent atoms, fractional coordinates:
Nd (0.000, 0.000, 0.000)
Tl (0.000, 0.244, 0.250)
Ga (0.000, 0.481, 0.750)
Te (0.000, 0.076, 0.750)
Te (0.000, 0.364, 0.567)


[8]
The following is a GGA-PBE calculation of crystalline TbNpTl at its relaxed geometry, from OQMD via LeMat-Bulk.

Lattice parameters (Å, degrees): 7.369 7.369 7.369 90.00 90.00 90.00
Space group F-43m (No. 216)
Inequivalent atoms, fractional coordinates:
Tb (0.000, 0.000, 0.000)
Np (0.000, 0.000, 0.500)
Tl (0.250, 0.250, 0.750)


[9]
The following is a GGA-PBE calculation of crystalline NaNdZnTe3 at its relaxed geometry, from OQMD via LeMat-Bulk.

Calculated values
**Polymorph energy (0 for the lowest one)**: 12.9 meV/atom

Lattice parameters (Å, degrees): 8.932 4.386 10.500 90.00 104.27 90.00
Space group P2_1/m (No. 11)
Inequivalent atoms, fractional coordinates:
Na (0.220, 0.250, 0.251)
Nd (0.315, 0.750, 0.856)
Zn (0.080, 0.250, 0.603)
Te (0.059, 0.250, 0.850)
Te (0.226, 0.750, 0.533)
Te (0.439, 0.750, 0.165)


[10]
The following is a GGA-PBE calculation of crystalline PrGdBiO2 at its relaxed geometry, from OQMD via LeMat-Bulk.

Lattice parameters (Å, degrees): 3.958 3.958 13.751 90.00 90.00 90.00
Space group I4mm (No. 107)
Inequivalent atoms, fractional coordinates:
Pr (0.000, 0.000, 0.000)
Gd (0.000, 0.000, 0.670)
Bi (0.000, 0.000, 0.333)
O (0.000, 0.500, 0.091)


[11]
The following is a GGA-PBE calculation of crystalline KSmO3 at its relaxed geometry, from OQMD via LeMat-Bulk.

Lattice parameters (Å, degrees): 3.770 3.770 5.904 90.00 90.00 90.00
Space group P4mm (No. 99)
Inequivalent atoms, fractional coordinates:
K (0.000, 0.000, 0.000)
Sm (0.500, 0.500, 0.474)
O (0.000, 0.000, 0.601)
O (0.000, 0.500, 0.266)


[12]
The following is a GGA-PBE calculation of crystalline PmNiPb at its relaxed geometry, from OQMD via LeMat-Bulk.

Calculated values
**Polymorph energy (0 for the lowest one)**: 0.0 meV/atom

Lattice parameters (Å, degrees): 6.663 6.663 6.663 90.00 90.00 90.00
Space group F-43m (No. 216)
Inequivalent atoms, fractional coordinates:
Pm (0.000, 0.000, 0.000)
Ni (0.000, 0.000, 0.500)
Pb (0.250, 0.250, 0.750)


Taking the records one at a time from the top gives energy values of -5.60; -4.97; -4.10; -3.74; -3.60; -8.01; -3.98; -6.07; -3.78; -7.29; -5.63; -4.49 eV per atom.